Below is a geometry-optimized CeNdBr6 structure, with properties calculated at the PBE level.

Space group = R-3
Polymorph energy (0 for the lowest one) = 9.1 meV/atom
DOS(E_F) = 1.031 states/eV/atom
Calculated total energy = -0.3228 Ry per atom
Energy relative to the elements, uncorrected = -14.40 eV per formula unit

Geometry as POSCAR:
```
CeNdBr6
1.0
7.2816 0.0109 0.0102
3.6332 6.3121 0.0150
3.6308 2.0991 6.6994
Br Ce Nd
6 1 1
direct
0.5912 0.2513 0.2507 Br
0.9071 0.5910 0.2510 Br
0.4088 0.7487 0.7493 Br
0.7487 0.0930 0.7494 Br
0.0929 0.4090 0.7490 Br
0.2513 0.9070 0.2506 Br
0.0000 0.0000 0.0000 Ce
0.5000 0.5000 0.5000 Nd
```